Compound: SbOsSeI2
Source: Alexandria
Functional: PBE
Structure: optimized geometry

Lattice parameters (Å, degrees): 5.706 5.706 5.470 90.00 90.00 90.00
Sites, in units of the cell vectors:
Sb (0.000, 0.000, 0.000)
Os (0.500, 0.500, 0.000)
Se (0.000, 0.000, 0.500)
I (0.000, 0.500, 0.500)
I (0.500, 0.000, 0.500)

* M_tot: 3.92 μB/cell
* N(E_F): 1.589 states/eV/atom
* E_form (uncorrected): 1.698 eV/atom
* energy above the lowest structure with this stoichiometry: 901 meV/atom



Compound: Li2DyZn9
Source: Alexandria
Functional: PBE
Structure: optimized geometry

Lattice parameters (Å, degrees): 8.866 8.866 8.866 34.44 34.44 34.44
Sites, in units of the cell vectors:
Li (0.143, 0.143, 0.143)
Li (0.857, 0.857, 0.857)
Dy (0.000, 0.000, 0.000)
Zn (0.080, 0.589, 0.589)
Zn (0.334, 0.334, 0.334)
Zn (0.411, 0.411, 0.920)
Zn (0.411, 0.920, 0.411)
Zn (0.500, 0.500, 0.500)
Zn (0.589, 0.080, 0.589)
Zn (0.589, 0.589, 0.080)
Zn (0.666, 0.666, 0.666)
Zn (0.920, 0.411, 0.411)

* M_tot: 0.00 μB/cell
* N(E_F): 0.386 states/eV/atom
* formation enthalpy at 0 K: -0.21 eV per atom
* energy above the lowest structure with this stoichiometry: 0 meV/atom



Which formula does entry 1 have? SbOsSeI2



The highest energy above the lowest structure with this stoichiometry belongs to which entry? SbOsSeI2



The highest M_tot belongs to which entry? SbOsSeI2